# 1
The following is a meta-GGA SCAN calculation of a PBEsol-optimized structure of TaNbSbI2, from Alexandria.

a = 5.3339 Å, b = 5.3339 Å, c = 5.4281 Å
α = 90.00°, β = 90.00°, γ = 90.00°
Last column: nearest neighbours and their distance in Å.
Positions (direct):
Nb 0.5000 0.5000 0.5000  4 Sb 3.77, 8 I 3.81
I 0.5000 0.0000 0.0000  2 Ta 2.67
I 0.0000 0.5000 0.0000  2 Ta 2.67
Ta 0.0000 0.0000 0.0000  4 I 2.67, 2 Sb 2.71
Sb 0.0000 0.0000 0.5000  2 Ta 2.71

As for the crystal system: tetragonal. Its uncorrected formation energy is 26.93 kcal/mol of atoms.

***

# 2
The following is a meta-GGA SCAN calculation of a PBEsol-optimized structure of Sc3NbI, from Alexandria.

a = 5.1273 Å, b = 5.1273 Å, c = 5.1273 Å
α = 90.00°, β = 90.00°, γ = 90.00°
Last column: nearest neighbours and their distance in Å.
Positions (direct):
Sc 0.5000 0.0000 0.0000  2 Nb 2.56
Sc 0.0000 0.0000 0.5000  2 Nb 2.56
Sc 0.0000 0.5000 0.0000  2 Nb 2.56
Nb 0.0000 0.0000 0.0000  6 Sc 2.56
I 0.5000 0.5000 0.5000  12 Sc 3.63

As for the crystal system: cubic. Its uncorrected formation energy is 13.81 kcal/mol of atoms.

***

# 3
The following is a meta-GGA SCAN calculation of a PBEsol-optimized structure of Sc2NbSiI, from Alexandria.

a = 5.0920 Å, b = 5.0920 Å, c = 5.0914 Å
α = 90.00°, β = 90.00°, γ = 90.00°
Last column: nearest neighbours and their distance in Å.
Positions (direct):
Nb 0.5000 0.5000 0.5000  8 Sc 3.60, 4 Si 3.60
Sc 0.0000 0.5000 0.0000  2 I 2.55
Sc 0.5000 0.0000 0.0000  2 I 2.55
I 0.0000 0.0000 0.0000  2 Si 2.55, 4 Sc 2.55
Si 0.0000 0.0000 0.5000  2 I 2.55

As for the crystal system: tetragonal. Its uncorrected formation energy is 28.38 kcal/mol of atoms.

***

# 4
The following is a meta-GGA SCAN calculation of a PBEsol-optimized structure of NbSeI2, from Alexandria.

a = 4.9343 Å, b = 7.6287 Å, c = 7.6287 Å
α = 84.00°, β = 71.13°, γ = 71.13°
Last column: nearest neighbours and their distance in Å.
Positions (direct):
I 0.3750 0.6408 0.8592  2 Nb 2.85
I 0.7658 0.8592 0.3592  2 Nb 2.85
I 0.9842 0.1408 0.6408  2 Nb 2.85
I 0.8750 0.3592 0.1408  2 Nb 2.85
Nb 0.7500 0.5000 0.5000  2 Se 2.47
Nb 0.0000 0.0000 0.0000  2 Se 2.47
Se 0.5000 0.0000 0.0000  2 Nb 2.47
Se 0.2500 0.5000 0.5000  2 Nb 2.47

As for the crystal system: tetragonal. Its uncorrected formation energy is -6.58 kcal/mol of atoms.